Here is a relaxed Th2Be3PdPt4 crystal from Alexandria via LeMat-Bulk. Energies are from PBE.

Calculated values
* symmetry: P-4m2 (115)

Structure (POSCAR):
```
Th2Be3PdPt4
1.0
4.010 0.000 0.000
0.000 4.010 0.000
0.000 0.000 10.643
Pt Be Th Pd
4 3 2 1
direct
0.000 0.000 0.000 Pt
0.500 0.000 0.668 Pt
0.500 0.500 0.000 Pt
0.000 0.500 0.332 Pt
0.000 0.000 0.500 Be
0.500 0.000 0.887 Be
0.000 0.500 0.113 Be
0.500 0.000 0.243 Th
0.000 0.500 0.757 Th
0.500 0.500 0.500 Pd
```



Here is a relaxed Th2Be4PdPt3 crystal from Alexandria via LeMat-Bulk. Energies are from PBE.

Calculated values
* symmetry: P-4m2 (115)

Structure (POSCAR):
```
Th2Be4PdPt3
1.0
4.123 0.000 0.000
0.000 4.123 0.000
0.000 0.000 9.527
Pt Th Be Pd
3 2 4 1
direct
0.000 0.500 0.126 Pt
0.000 0.000 0.500 Pt
0.500 0.000 0.874 Pt
0.000 0.500 0.756 Th
0.500 0.000 0.244 Th
0.500 0.500 0.000 Be
0.000 0.500 0.378 Be
0.500 0.000 0.622 Be
0.000 0.000 0.000 Be
0.500 0.500 0.500 Pd
```



Here is a relaxed Th2Be3PdPt12 crystal from Alexandria via LeMat-Bulk. Energies are from PBE.

Calculated values
* symmetry: R-3m (166)

Structure (POSCAR):
```
Th2Be3PdPt12
1.0
-2.031 -5.643 4.648
5.363 -5.134 1.567
2.904 0.232 7.007
Pt Be Th Pd
12 3 2 1
direct
0.105 0.644 0.644 Pt
0.356 0.356 0.895 Pt
0.393 0.865 0.865 Pt
0.895 0.356 0.356 Pt
0.356 0.895 0.356 Pt
0.865 0.865 0.393 Pt
0.135 0.607 0.135 Pt
0.607 0.135 0.135 Pt
0.135 0.135 0.607 Pt
0.644 0.105 0.644 Pt
0.644 0.644 0.105 Pt
0.865 0.393 0.865 Pt
0.500 0.000 0.000 Be
0.000 0.000 0.500 Be
0.000 0.500 0.000 Be
0.388 0.388 0.388 Th
0.612 0.612 0.612 Th
0.000 0.000 0.000 Pd
```



Here is a relaxed BeTlPdPt2 crystal from Alexandria via LeMat-Bulk. Energies are from PBE.

Calculated values
* symmetry: P4/mmm (123)

Structure (POSCAR):
```
BeTlPdPt2
1.0
-2.036 2.583 3.735
-4.541 -1.183 -1.657
0.028 -4.084 2.839
Pd Tl Be Pt
1 1 1 2
direct
0.000 0.000 0.000 Pd
0.000 0.000 0.500 Tl
0.500 0.500 0.500 Be
0.500 0.000 0.000 Pt
0.000 0.500 0.000 Pt
```



Raw total energy per entry: -64.0, -61.2, -112.1, -16.8 eV per cell